VASP calculation (GGA-PBE) on AcC6N8 after structural relaxation.

Properties
Fermi-level density of states ... 0.29 states/eV/atom
V ... 10.26 Å³/atom
Space group ... R-3
Formation energy without anion corrections ... 0.54 eV per atom
VASP energy ... -117.97 eV/cell

Cell lengths 5.397, 5.397, 5.397 Å; angles 82.97, 82.97, 82.97 degrees
Sites, in units of the cell vectors:
Ac  0.000  0.000  0.000
C  0.563  0.216  0.218
C  0.218  0.563  0.216
C  0.216  0.218  0.563
C  0.437  0.784  0.782
C  0.782  0.437  0.784
C  0.784  0.782  0.437
N  0.330  0.330  0.330
N  0.670  0.670  0.670
N  0.027  0.359  0.694
N  0.694  0.027  0.359
N  0.359  0.694  0.027
N  0.973  0.641  0.306
N  0.306  0.973  0.641
N  0.641  0.306  0.973